DFT (PBE-GGA) results for a relaxed GdTl2O4 crystal.

a = 6.887 Å, b = 6.887 Å, c = 6.887 Å
α = 120.00°, β = 90.01°, γ = 120.00°
Atoms (fractional coordinates):
1 O 0.620 0.760 0.380
2 O 0.140 0.760 0.380
3 O 0.620 0.240 0.380
4 O 0.610 0.740 0.870
5 O 0.130 0.260 0.390
6 O 0.130 0.260 0.870
7 O 0.130 0.740 0.870
8 O 0.620 0.240 0.860
9 Tl 0.375 0.750 0.125
10 Tl 0.375 0.750 0.625
11 Tl 0.375 0.250 0.625
12 Tl 0.875 0.250 0.625
13 Gd 0.000 0.000 0.000
14 Gd 0.750 0.500 0.250

Crystal system ... cubic
DFT total energy ... -5.6815 eV/atom